# 1
12
Lattice="7.3632 -0.1379 -0.0033 -0.1409 7.0060 -0.0087 0.0053 0.0104 8.9255" Properties=species:S:1:pos:R:3 comment="PBE Rb2NpPbCl8, relaxed" final_energy_ev_per_atom=-4.41 crystal_system=monoclinic pbc="T T T"
Cl 6.3625 1.3360 1.9517
Cl 5.0057 5.2057 4.4537
Cl 2.1512 1.4453 -0.0027
Cl 0.8650 5.5425 6.9619
Cl 0.8616 5.5363 1.9487
Cl 2.2218 1.6729 4.4599
Cl 5.0763 5.4333 8.9163
Cl 6.3659 1.3422 6.9649
Rb 3.6154 3.4419 6.6801
Rb 3.6121 3.4366 2.2335
Pb 0.0026 0.0052 4.4627
Np 0.0000 0.0000 0.0000

# 2
12
Lattice="-1.4812 0.5361 6.6792 1.6258 -6.4448 0.9567 8.4879 2.3916 1.6906" Properties=species:S:1:pos:R:3 comment="PBE NpTlPb2Cl8, relaxed" final_energy_ev_per_atom=-4.44 crystal_system=monoclinic pbc="T T T"
Np 0.0000 0.0000 0.0000
Cl 4.4842 -3.1290 5.7589
Cl 4.1482 -0.3882 3.5676
Cl 7.6547 -2.9535 3.1129
Cl 8.6975 -2.0764 6.9596
Cl 5.7904 0.7919 7.1728
Cl 0.9778 -0.5637 6.2136
Cl 2.8420 -4.3091 2.1537
Cl -0.0650 -1.4408 2.3669
Pb 6.4156 -1.1670 5.0814
Pb 2.2168 -2.3502 4.2451
Tl 4.2439 1.1958 0.8453

# 3
18
Lattice="7.4682 0.0000 0.0000 -3.7341 6.4676 0.0000 0.0000 0.0000 13.4241" Properties=species:S:1:pos:R:3 comment="PBE NpTlPbCl6, relaxed" final_energy_ev_per_atom=-4.73 crystal_system=trigonal pbc="T T T"
Cl 2.2725 4.1670 8.5356
Cl 6.0066 2.3007 1.8236
Cl 2.7232 0.1154 1.8236
Cl -2.2725 4.1670 11.6006
Cl 1.4616 2.3007 4.8885
Cl -1.2617 2.4161 8.5356
Cl 4.7449 0.1154 4.8885
Cl 1.0109 6.3522 11.6006
Cl 4.9957 4.0515 4.8885
Cl 2.4724 4.0515 1.8236
Cl 1.2617 2.4161 11.6006
Cl -1.0109 6.3522 8.5356
Np 3.7341 2.1559 3.3560
Np 0.0000 4.3118 10.0681
Tl 0.0000 0.0000 6.7121
Tl 0.0000 0.0000 0.0000
Pb 3.7341 2.1559 10.0681
Pb 0.0000 4.3118 3.3560

# 4
12
Lattice="7.2490 -0.1369 -0.0043 -0.1389 6.9210 -0.0071 0.0033 0.0116 8.7362" Properties=species:S:1:pos:R:3 comment="PBE NpTl2PbCl8, relaxed" final_energy_ev_per_atom=-4.33 crystal_system=monoclinic pbc="T T T"
Cl 4.9320 5.4392 8.7267
Cl 0.8252 5.4159 6.7738
Cl 6.2906 1.3868 6.7725
Cl 2.2721 1.7063 4.3651
Cl 6.2882 1.3798 1.9510
Cl 0.8227 5.4089 1.9523
Cl 4.8413 5.0894 4.3597
Cl 2.1813 1.3565 -0.0019
Pb 0.0016 0.0058 4.3681
Tl 3.5558 3.3953 2.2179
Tl 3.5575 3.4004 6.5069
Np 0.0000 0.0000 0.0000